BeFe2GeC: relaxed, PBE-GGA.

a = 4.013 Å, b = 3.955 Å, c = 4.013 Å
α = 90.00°, β = 90.00°, γ = 90.00°
Site moments in Bohr magnetons follow the coordinates.
Fractional positions:
Ge1 0.000 0.500 0.000  0.01
Be1 0.000 0.000 0.000  -0.11
C1 0.500 0.500 0.500  -0.01
Fe1 0.000 0.000 0.500  2.48
Fe2 0.500 0.000 0.000  2.52

Properties
Energy: -5.315 eV per atom
Formation energy from the elements: 1.58 eV/atom
Polymorph energy (0 for the lowest one): 1506 meV per atom